No. 1
GaNiSN2: optimized geometry, PBE.

The structure in extended XYZ format:
```
5
Lattice="3.5068 0.0000 0.0000 0.0000 3.5068 0.0000 0.0000 0.0000 7.3593" Properties=species:S:1:pos:R:3 pbc="T T T"
Ga 0.0000 0.0000 0.0000
Ni 1.7534 1.7534 3.6797
S 1.7534 1.7534 0.0000
N 0.0000 1.7534 3.6797
N 1.7534 0.0000 3.6797
```

## Properties
Energy above the lowest structure with this stoichiometry   0.00 eV per formula unit
Formation energy (no corrections)   0.976 eV/atom

No. 2
GaNiS2N: optimized geometry, PBE.

The structure in extended XYZ format:
```
5
Lattice="4.8242 0.0000 0.0000 0.0000 4.8242 0.0000 0.0000 0.0000 3.6143" Properties=species:S:1:pos:R:3 pbc="T T T"
Ga 0.0000 0.0000 0.0000
Ni 2.4121 2.4121 1.8072
S 0.0000 2.4121 0.0000
S 2.4121 0.0000 0.0000
N 0.0000 0.0000 1.8072
```

## Properties
Energy above the lowest structure with this stoichiometry   2.90 eV per formula unit
Formation energy (no corrections)   1.085 eV/atom

No. 3
GaNiSN2: optimized geometry, PBE.

The structure in extended XYZ format:
```
5
Lattice="3.7101 0.0000 0.0000 0.0000 3.7101 0.0000 0.0000 0.0000 5.3505" Properties=species:S:1:pos:R:3 pbc="T T T"
Ga 0.0000 0.0000 0.0000
Ni 1.8550 1.8550 2.6752
S 0.0000 0.0000 2.6752
N 0.0000 1.8550 0.0000
N 1.8550 0.0000 0.0000
```

## Properties
Energy above the lowest structure with this stoichiometry   2.08 eV per formula unit
Formation energy (no corrections)   1.392 eV/atom

No. 4
GaNiS2N: optimized geometry, PBE.

The structure in extended XYZ format:
```
5
Lattice="4.7609 0.0000 0.0000 0.0000 4.7609 0.0000 0.0000 0.0000 3.4166" Properties=species:S:1:pos:R:3 pbc="T T T"
Ga 0.0000 0.0000 0.0000
Ni 2.3804 2.3804 1.7083
S 0.0000 2.3804 1.7083
S 2.3804 0.0000 1.7083
N 2.3804 2.3804 0.0000
```

## Properties
Energy above the lowest structure with this stoichiometry   0.00 eV per formula unit
Formation energy (no corrections)   0.506 eV/atom

No. 5
GaNiSeN2: optimized geometry, PBE.

The structure in extended XYZ format:
```
5
Lattice="3.7297 0.0000 0.0000 0.0000 3.7297 0.0000 0.0000 0.0000 5.7109" Properties=species:S:1:pos:R:3 pbc="T T T"
Ga 0.0000 0.0000 0.0000
Ni 1.8649 1.8649 2.8555
Se 0.0000 0.0000 2.8555
N 0.0000 1.8649 0.0000
N 1.8649 0.0000 0.0000
```

## Properties
Energy above the lowest structure with this stoichiometry   1.53 eV per formula unit
Formation energy (no corrections)   1.337 eV/atom

No. 6
GaNiSeN2: optimized geometry, PBE.

The structure in extended XYZ format:
```
5
Lattice="3.7199 0.0000 0.0000 0.0000 3.7199 0.0000 0.0000 0.0000 5.3086" Properties=species:S:1:pos:R:3 pbc="T T T"
Ga 0.0000 0.0000 0.0000
Ni 1.8599 1.8599 2.6543
Se 1.8599 1.8599 0.0000
N 0.0000 1.8599 2.6543
N 1.8599 0.0000 2.6543
```

## Properties
Energy above the lowest structure with this stoichiometry   0.00 eV per formula unit
Formation energy (no corrections)   1.032 eV/atom

No. 7
TbGaNiN: optimized geometry, PBE.

The structure in extended XYZ format:
```
8
Lattice="3.5978 0.0000 0.0000 0.0000 3.5978 0.0000 0.0000 0.0000 9.1450" Properties=species:S:1:pos:R:3 pbc="T T T"
Tb 0.8995 0.8995 1.2222
Tb 2.6984 2.6984 7.9228
Ga 0.8995 0.8995 6.1033
Ga 2.6984 2.6984 3.0418
Ni 0.8995 2.6984 4.5725
Ni 2.6984 0.8995 4.5725
N 0.8995 0.8995 8.0874
N 2.6984 2.6984 1.0576
```

## Properties
Formation energy (no corrections)   -0.861 eV/atom

No. 8
NpGaN2: optimized geometry, PBE.

The structure in extended XYZ format:
```
4
Lattice="1.7323 1.0001 6.5918 -1.7323 1.0001 6.5918 0.0000 -2.0003 6.5918" Properties=species:S:1:pos:R:3 pbc="T T T"
Np 0.0000 0.0000 0.0000
Ga 0.0000 0.0000 9.8877
N 0.0000 0.0000 7.5132
N 0.0000 0.0000 12.2623
```

## Properties
Formation energy (no corrections)   -0.471 eV/atom

no.,volume (Å³ per cell)
1,91
2,84
3,74
4,77
5,79
6,73
7,118
8,69